Below is a relaxed structure of MgMoOs2, with properties calculated at the PBE-GGA level.

- SG = No. 47
- ΔH_f (0 K) (eV per atom) = 0.40
- DOS at the Fermi energy (states/eV/atom) = 0.9744
- mass density (g/cm³) = 13.734

```
MgMoOs2
1.0
2.987 0.000 0.000
0.000 4.624 0.000
0.000 0.000 4.382
Mg Mo Os
1 1 2
Cartesian
1.494 0.000 2.191
0.000 2.312 2.191
0.000 0.000 0.000
1.494 2.312 0.000
```

***

Below is a relaxed structure of Mg2MoOs, with properties calculated at the PBE-GGA level.

- SG = No. 44
- ΔH_f (0 K) (eV per atom) = 0.26
- DOS at the Fermi energy (states/eV/atom) = 0.7318
- mass density (g/cm³) = 8.149

```
Mg2MoOs
1.0
-3.978 -2.305 2.557
1.495 -3.792 3.326
0.552 5.117 -1.089
Mg Mo Os
2 1 1
Cartesian
-0.034 -0.083 0.080
-2.319 -0.080 2.168
-1.178 -2.891 2.790
0.357 -0.973 2.697
```

***

Below is a relaxed structure of Mg2MoOs, with properties calculated at the PBE-GGA level.

- SG = No. 8
- ΔH_f (0 K) (eV per atom) = 0.26
- DOS at the Fermi energy (states/eV/atom) = 0.7655
- mass density (g/cm³) = 8.351

```
Mg2MoOs
1.0
-2.629 -0.614 3.828
-1.252 -3.058 3.320
3.755 1.408 3.399
Mg Mo Os
2 1 1
Cartesian
-0.106 -2.243 10.498
-0.082 -1.697 7.936
-0.192 -1.187 5.187
0.067 -0.534 2.747
```

***

Below is a relaxed structure of MgMoOs2, with properties calculated at the PBE-GGA level.

- SG = No. 122
- ΔH_f (0 K) (eV per atom) = 0.76
- DOS at the Fermi energy (states/eV/atom) = 0.3595
- mass density (g/cm³) = 11.770

```
MgMoOs2
1.0
-3.925 -5.411 -2.892
2.821 -4.640 4.854
-2.544 -4.479 2.662
Mo Os Mg
2 4 2
Cartesian
0.000 0.000 0.000
-3.511 -7.458 0.376
-2.912 -5.324 -0.664
0.812 -4.454 3.467
-2.448 -6.921 2.515
-2.748 -12.362 3.931
-0.552 -5.026 0.981
-0.137 -7.072 4.249
```

***

Below is a relaxed structure of Mg2MoOs, with properties calculated at the PBE-GGA level.

- SG = No. 123
- ΔH_f (0 K) (eV per atom) = 0.38
- DOS at the Fermi energy (states/eV/atom) = 1.4351
- mass density (g/cm³) = 8.496

```
Mg2MoOs
1.0
-1.107 2.477 -0.108
-1.044 -0.573 -2.440
-7.352 -3.115 3.877
Mg Mo Os
2 1 1
Cartesian
-7.285 -3.087 3.842
-3.742 -1.585 1.973
-2.913 0.173 -0.305
-6.589 -1.384 1.633
```

***

Below is a relaxed structure of MgMoOs2, with properties calculated at the PBE-GGA level.

- SG = No. 10
- ΔH_f (0 K) (eV per atom) = 0.27
- DOS at the Fermi energy (states/eV/atom) = 0.6931
- mass density (g/cm³) = 13.643

```
MgMoOs2
1.0
4.363 0.000 0.000
0.000 2.744 -0.054
0.000 0.825 5.075
Mg Mo Os
1 1 2
Cartesian
2.181 0.892 1.255
2.181 2.677 3.766
0.000 3.466 5.020
0.000 1.888 2.512
```

***

Below is a relaxed structure of Mg2MoOs, with properties calculated at the PBE-GGA level.

- SG = No. 10
- ΔH_f (0 K) (eV per atom) = 0.29
- DOS at the Fermi energy (states/eV/atom) = 0.7807
- mass density (g/cm³) = 8.580

```
Mg2MoOs
1.0
4.609 0.000 0.000
0.000 2.711 0.001
0.000 1.238 5.186
Mg Mo Os
2 1 1
Cartesian
0.000 3.873 5.168
0.000 2.051 2.612
2.304 0.987 1.297
2.304 2.962 3.890
```

***

Below is a relaxed structure of MgMoOs2, with properties calculated at the PBE-GGA level.

- SG = No. 35
- ΔH_f (0 K) (eV per atom) = 0.43
- DOS at the Fermi energy (states/eV/atom) = 1.1545
- mass density (g/cm³) = 13.356

```
MgMoOs2
1.0
2.717 -0.009 0.000
-1.138 2.467 0.000
0.000 0.000 9.302
Mg Mo Os
1 1 2
Cartesian
0.000 0.000 4.590
0.790 1.229 7.067
0.000 0.000 0.008
0.790 1.229 2.288
```

***

Below is a relaxed structure of Mg2MoOs2, with properties calculated at the PBE-GGA level.

- SG = No. 127
- ΔH_f (0 K) (eV per atom) = 0.67
- DOS at the Fermi energy (states/eV/atom) = 0.9617
- mass density (g/cm³) = 10.886

```
Mg2MoOs2
1.0
-3.357 6.902 -1.249
-4.906 -3.300 -5.050
-1.708 -0.474 1.969
Mo Os Mg
2 4 4
Cartesian
0.000 0.000 0.000
-4.131 1.801 -3.150
-4.807 -1.233 -2.684
-7.157 1.765 -4.000
-5.164 4.361 -1.646
-2.813 1.362 -0.330
-5.610 -0.274 -4.931
-5.992 4.048 -4.222
-2.653 3.876 -1.368
-2.270 -0.447 -2.077
```

***

Below is a relaxed structure of MgMoOs2, with properties calculated at the PBE-GGA level.

- SG = No. 6
- ΔH_f (0 K) (eV per atom) = 0.23
- DOS at the Fermi energy (states/eV/atom) = 0.6089
- mass density (g/cm³) = 13.716

```
MgMoOs2
1.0
4.323 0.000 0.000
0.000 2.753 -0.011
0.000 1.267 5.089
Mg Mo Os
1 1 2
Cartesian
0.000 2.021 2.536
2.162 3.132 3.792
0.000 3.864 5.072
2.162 1.032 1.296
```

***

Below is a relaxed structure of MgMoOs2, with properties calculated at the PBE-GGA level.

- SG = No. 166
- ΔH_f (0 K) (eV per atom) = 0.15
- DOS at the Fermi energy (states/eV/atom) = 1.0040
- mass density (g/cm³) = 13.506

```
MgMoOs2
1.0
9.182 0.010 0.006
8.751 2.781 0.006
8.751 1.362 2.425
Mg Mo Os
1 1 2
Cartesian
6.671 1.038 0.609
20.014 3.114 1.827
0.081 0.013 0.007
13.261 2.064 1.211
```

***

Below is a relaxed structure of Mg2MoOs, with properties calculated at the PBE-GGA level.

- SG = No. 65
- ΔH_f (0 K) (eV per atom) = 0.33
- DOS at the Fermi energy (states/eV/atom) = 0.5831
- mass density (g/cm³) = 8.573

```
Mg2MoOs
1.0
2.713 0.054 0.000
-0.792 2.595 0.000
0.000 0.000 9.155
Mg Mo Os
2 1 1
Cartesian
0.000 0.000 9.077
0.000 0.000 4.655
0.961 1.325 2.289
0.961 1.325 6.866
```